Material: Dy5Ho12Zn3
Method: DFT, PBE
State: optimized geometry

```
Dy5Ho12Zn3
1.0
-9.003 9.003 9.003
9.003 -9.003 9.003
9.003 9.003 -9.003
Dy Ho Zn
20 48 12
direct
0.000 0.000 0.000
0.000 0.000 0.500
0.000 0.500 0.000
0.000 0.500 0.500
0.125 0.750 0.875
0.125 0.875 0.250
0.250 0.125 0.875
0.250 0.625 0.375
0.375 0.250 0.625
0.375 0.625 0.750
0.500 0.000 0.000
0.500 0.000 0.500
0.500 0.500 0.000
0.500 0.500 0.500
0.625 0.375 0.250
0.625 0.750 0.375
0.750 0.375 0.625
0.750 0.875 0.125
0.875 0.125 0.750
0.875 0.250 0.125
0.055 0.638 0.402
0.055 0.917 0.653
0.083 0.237 0.138
0.083 0.347 0.945
0.098 0.737 0.653
0.098 0.862 0.445
0.138 0.083 0.237
0.138 0.555 0.902
0.153 0.237 0.598
0.153 0.417 0.555
0.237 0.138 0.083
0.237 0.598 0.153
0.263 0.347 0.902
0.263 0.417 0.362
0.347 0.902 0.263
0.347 0.945 0.083
0.362 0.263 0.417
0.362 0.598 0.945
0.402 0.055 0.638
0.402 0.847 0.763
0.417 0.362 0.263
0.417 0.555 0.153
0.445 0.098 0.862
0.445 0.847 0.583
0.555 0.153 0.417
0.555 0.902 0.138
0.583 0.445 0.847
0.583 0.638 0.737
0.598 0.153 0.237
0.598 0.945 0.362
0.638 0.402 0.055
0.638 0.737 0.583
0.653 0.055 0.917
0.653 0.098 0.737
0.737 0.583 0.638
0.737 0.653 0.098
0.763 0.402 0.847
0.763 0.862 0.917
0.847 0.583 0.445
0.847 0.763 0.402
0.862 0.445 0.098
0.862 0.917 0.763
0.902 0.138 0.555
0.902 0.263 0.347
0.917 0.653 0.055
0.917 0.763 0.862
0.945 0.083 0.347
0.945 0.362 0.598
0.125 0.250 0.375
0.125 0.375 0.750
0.250 0.375 0.125
0.250 0.875 0.625
0.375 0.125 0.250
0.375 0.750 0.125
0.625 0.250 0.875
0.625 0.875 0.750
0.750 0.125 0.375
0.750 0.625 0.875
0.875 0.625 0.250
0.875 0.750 0.625
```

Properties
space-group type: No. 230
formation energy: 874 meV per atom
crystal system: cubic

---

Material: CsSiAg2F8
Method: DFT, PBE
State: optimized geometry

```
CsSiAg2F8
1.0
5.259 0.000 0.000
1.584 5.065 0.000
0.636 1.419 7.564
Cs Si Ag F
1 1 2 8
direct
0.000 0.000 0.000
0.000 0.000 0.500
0.428 0.413 0.237
0.572 0.587 0.763
0.098 0.217 0.327
0.228 0.730 0.430
0.235 0.020 0.632
0.369 0.352 0.959
0.631 0.648 0.041
0.765 0.980 0.368
0.772 0.270 0.570
0.902 0.783 0.673
```

Properties
space-group type: No. 2
uncorrected formation energy: -2584.7 kJ/mol of formula units
crystal system: triclinic

---

Material: Tb2Nd4Sm2Er
Method: DFT, PBE
State: optimized geometry

```
Tb2Nd4Sm2Er
1.0
7.688 -2.564 0.000
7.688 2.564 0.000
-2.578 0.000 7.666
Tb Nd Sm Er
2 4 2 1
direct
0.111 0.111 0.169
0.889 0.889 0.831
0.222 0.222 0.833
0.445 0.445 0.168
0.555 0.555 0.832
0.778 0.778 0.167
0.334 0.334 0.500
0.666 0.666 0.500
0.000 0.000 0.500
```

Properties
space-group type: No. 12
formation energy: 16 meV per atom
crystal system: monoclinic

---

| no. | volume (Å³ per cell) | E (Ry per atom) |
| --- | --- | --- |
| 1 | 2919 | -0.236 |
| 2 | 202 | -0.329 |
| 3 | 302 | -0.345 |